Record 1
Entry from Alexandria: a relaxed structure of TaAg3 (PBEsol).

Cell and atoms, written as extended XYZ:
```
4
Lattice="5.154 0.000 0.000 0.000 5.154 0.000 0.000 0.000 5.154" Properties=species:S:1:pos:R:3 pbc="T T T"
Ag 0.000 2.577 0.000
Ta 0.000 0.000 0.000
Ag 2.577 0.000 0.000
Ag 0.000 0.000 2.577
```

Energy relative to the elements   2.064 eV per atom
Symmetry   Pm-3m
D(E_F)   5.7 states/eV per cell
Energy   -3.557 eV per atom

=====

Record 2
Entry from Alexandria: a relaxed structure of LiTc2Ru (PBEsol).

Cell and atoms, written as extended XYZ:
```
4
Lattice="4.199 0.000 0.000 2.100 3.637 0.000 2.100 1.212 3.429" Properties=species:S:1:pos:R:3 pbc="T T T"
Tc 0.000 0.000 0.000
Tc 6.299 3.637 2.572
Ru 2.100 1.212 0.857
Li 4.199 2.425 1.714
```

Energy relative to the elements   0.212 eV per atom
Symmetry   F-43m
D(E_F)   3.8 states/eV per cell
Energy   -8.456 eV per atom

=====

Record 3
Entry from Alexandria: a relaxed structure of Cr2CdRh (PBEsol).

Cell and atoms, written as extended XYZ:
```
4
Lattice="-1.059 0.962 2.394 -2.764 0.151 0.342 -1.313 -7.348 3.997" Properties=species:S:1:pos:R:3 pbc="T T T"
Rh -2.569 -3.353 3.461
Cd -1.284 -1.526 1.670
Cr -1.311 -6.996 3.856
Cr -3.853 -4.825 5.109
```

Energy relative to the elements   0.231 eV per atom
Symmetry   R3m
D(E_F)   2.8 states/eV per cell
Energy   -7.224 eV per atom

=====

Record 4
Entry from Alexandria: a relaxed structure of CdSb2As (PBEsol).

Cell and atoms, written as extended XYZ:
```
4
Lattice="3.972 0.000 0.000 0.000 4.355 0.004 -1.986 -2.106 5.882" Properties=species:S:1:pos:R:3 pbc="T T T"
Cd 0.000 1.154 3.032
Sb 0.000 0.882 0.005
Sb 1.986 -1.023 2.875
As 0.000 1.308 5.857
```

Uncorrected formation energy   44 meV per atom
Symmetry   Cm
D(E_F)   1.3 states/eV per cell
Energy   -3.811 eV per atom

=====

Record 5
Entry from Alexandria: a relaxed structure of FeCoPb3 (PBEsol).

Cell and atoms, written as extended XYZ:
```
5
Lattice="4.950 0.000 0.000 0.000 4.950 0.000 0.000 0.000 4.950" Properties=species:S:1:pos:R:3 pbc="T T T"
Pb 0.000 0.000 2.475
Pb 2.475 0.000 0.000
Fe 0.000 0.000 0.000
Co 2.475 2.475 2.475
Pb 0.000 2.475 0.000
```

Energy relative to the elements   0.923 eV per atom
Symmetry   Pm-3m
D(E_F)   10.4 states/eV per cell
Energy   -4.817 eV per atom

=====

Record 6
Entry from Alexandria: a relaxed structure of TaZnCu (PBEsol).

Cell and atoms, written as extended XYZ:
```
3
Lattice="2.756 0.000 0.000 0.000 4.211 0.000 0.000 -2.105 3.646" Properties=species:S:1:pos:R:3 pbc="T T T"
Ta 0.000 2.105 1.215
Cu 1.378 0.000 0.000
Zn 1.378 0.000 2.431
```

Energy relative to the elements   0.066 eV per atom
Symmetry   P-6m2
D(E_F)   2.2 states/eV per cell
Energy   -6.090 eV per atom

=====

Record 7
Entry from Alexandria: a relaxed structure of NaCo2Se2 (PBEsol).

Cell and atoms, written as extended XYZ:
```
5
Lattice="3.769 0.000 0.000 0.000 3.769 0.000 -1.885 -1.885 6.051" Properties=species:S:1:pos:R:3 pbc="T T T"
Se 1.885 1.885 1.693
Se 0.000 0.000 4.358
Co 0.000 1.885 3.026
Na 0.000 0.000 0.000
Co 1.885 0.000 3.026
```

Uncorrected formation energy   -424 meV per atom
Symmetry   I4/mmm
D(E_F)   4.1 states/eV per cell
Energy   -5.339 eV per atom

=====

Record 8
Entry from Alexandria: a relaxed structure of MgNb2TlSn (PBEsol).

Cell and atoms, written as extended XYZ:
```
5
Lattice="-1.670 3.633 3.352 -1.971 -3.734 3.066 4.728 -0.297 2.678" Properties=species:S:1:pos:R:3 pbc="T T T"
Sn 2.364 -0.148 1.339
Mg 0.544 -0.199 4.548
Nb -0.985 -1.867 1.533
Nb -0.835 1.817 1.676
Tl 0.000 0.000 0.000
```

Energy relative to the elements   1.711 eV per atom
Symmetry   P4/mmm
D(E_F)   7.3 states/eV per cell
Energy   -4.339 eV per atom